A geometry-optimized CrGaSb2Te structure. Source: the Alexandria database, functional PBE.

Output
**Magnetization**: 0.42 μB/atom
**Symmetry**: P4/mmm (123)
**Relative energy among the computed polymorphs**: 0.00 eV/f.u.
**Calculated volume**: 28.258 Å³/atom
**DOS(E_F)**: 3.56 states/eV per cell

a = 5.0356 Å, b = 5.0356 Å, c = 5.5720 Å
α = 90.00°, β = 90.00°, γ = 90.00°
Each line ends with the local moment (μB).
Fractional coordinates of all 5 atoms:
Sb (0.0000, 0.5000, 0.0000)  -0.12
Cr (0.0000, 0.0000, 0.0000)  2.30
Te (0.0000, 0.0000, 0.5000)  0.01
Sb (0.5000, 0.0000, 0.0000)  -0.12
Ga (0.5000, 0.5000, 0.5000)  0.01